# 1
# Sr2LaP (GGA-PBE, relaxed)
data_Sr2LaP
_chemical_formula_sum 'Sr4 La2 P2'
_space_group_name_H-M_alt 'C 1 m 1'
_space_group_IT_number 8
_space_group_name_Hall 'C -2y'
_cell_length_a 10.398
_cell_length_b 3.999
_cell_length_c 7.928
_cell_angle_alpha 90.00
_cell_angle_beta 110.13
_cell_angle_gamma 90.00
loop_
_atom_site_label
_atom_site_type_symbol
_atom_site_fract_x
_atom_site_fract_y
_atom_site_fract_z
Sr1 Sr 0.000 0.000 0.000
Sr2 Sr 0.168 0.000 0.631
La1 La 0.342 0.000 0.318
P1 P 0.122 0.500 0.316
# energy relative to the lowest polymorph listed for this composition: 46 meV per atom
# calculated formation energy: -519 meV/atom

---

# 2
An optimized crystal structure of Pr2TaH. Source: the Alexandria database, functional GGA-PBE.

```
data_Pr2TaH
_chemical_formula_sum 'Pr6 Ta3 H3'
_space_group_name_H-M_alt 'R -3 m'
_space_group_IT_number 166
_space_group_name_Hall '-R 3 2"'
_cell_length_a 3.2335
_cell_length_b 3.2335
_cell_length_c 28.2497
_cell_angle_alpha 90.00
_cell_angle_beta 90.00
_cell_angle_gamma 120.00
loop_
_atom_site_label
_atom_site_type_symbol
_atom_site_fract_x
_atom_site_fract_y
_atom_site_fract_z
Pr1 Pr 0.0000 0.0000 0.1079
Ta1 Ta 0.0000 0.0000 0.0000
H1 H 0.0000 0.0000 0.5000
```

---

Number 1: energy -0.290 Ry/atom, M_tot 0.26 μB per formula unit. Number 2: energy -0.420 Ry/atom, M_tot 0.00 μB per formula unit.